Entry 1:
PBE Nd6Sm4Dy, optimized geometry; excess energy over the best structure of this formula in the dataset = 234 meV per atom; calculated volume = 38.7 Å³/atom; DFT formation energy = 5.697 eV/f.u.
1.0
7.727 1.181 -2.693
-4.222 6.550 -2.762
0.761 -1.181 8.148
Nd Dy Sm
6 1 4
Direct
0.500 0.500 0.000
0.500 0.000 0.500
0.000 0.078 0.474
0.000 0.474 0.078
0.603 0.526 0.526
0.397 0.922 0.922
0.000 0.000 0.000
0.775 0.243 0.243
0.000 0.757 0.531
0.000 0.531 0.757
0.225 0.469 0.469

---

Entry 2:
PBE Nd14SmDy, optimized geometry; calculated volume = 34.9 Å³/atom; DFT formation energy = 0.215 eV/f.u.
1.0
7.272 0.975 0.000
-0.976 7.272 0.000
0.000 0.000 10.376
Nd Dy Sm
14 1 1
Direct
0.875 0.625 0.000
0.375 0.125 0.500
0.126 0.874 0.752
0.126 0.376 0.248
0.375 0.125 0.000
0.126 0.376 0.752
0.624 0.376 0.752
0.875 0.125 0.500
0.624 0.874 0.248
0.875 0.625 0.500
0.624 0.874 0.752
0.624 0.376 0.248
0.126 0.874 0.248
0.375 0.625 0.500
0.375 0.625 0.000
0.875 0.125 0.000

---

Entry 3:
PBE Nd2SmDy, optimized geometry; excess energy over the best structure of this formula in the dataset = 0 meV per atom; calculated volume = 33.8 Å³/atom; DFT formation energy = 0.050 eV/f.u.
1.0
-2.669 1.298 2.101
-1.316 -2.019 2.723
6.699 4.408 8.933
Dy Nd Sm
1 2 1
Direct
0.000 0.000 0.000
0.749 0.749 0.753
0.251 0.251 0.247
0.500 0.500 0.500

---

Entry 4:
PBE Nd6Sm2Dy3, optimized geometry; excess energy over the best structure of this formula in the dataset = 0 meV per atom; calculated volume = 33.9 Å³/atom; DFT formation energy = 0.157 eV/f.u.
1.0
5.826 -1.028 2.157
-0.745 7.656 2.644
4.296 6.349 12.862
Nd Dy Sm
6 3 2
Direct
0.817 0.724 0.546
0.729 0.092 0.818
0.091 0.637 0.728
0.271 0.908 0.182
0.909 0.363 0.272
0.183 0.276 0.454
0.000 0.000 0.000
0.453 0.181 0.637
0.547 0.819 0.363
0.639 0.457 0.090
0.361 0.543 0.910

---

Entry 5:
PBE Nd2SmDy, optimized geometry; excess energy over the best structure of this formula in the dataset = 41 meV per atom; calculated volume = 34.0 Å³/atom; DFT formation energy = 0.213 eV/f.u.
1.0
3.581 0.000 0.000
0.000 5.667 0.000
-1.791 0.000 6.704
Nd Sm Dy
2 1 1
Direct
0.189 0.000 0.377
0.063 0.500 0.126
0.444 0.000 0.889
0.804 0.500 0.608

---

Entry 6:
PBE Nd5Sm2Dy, optimized geometry; excess energy over the best structure of this formula in the dataset = 197 meV per atom; calculated volume = 35.2 Å³/atom; DFT formation energy = 1.692 eV/f.u.
1.0
-9.176 -3.124 -13.354
10.625 -11.336 5.557
-0.805 -9.959 -3.481
Nd Sm Dy
10 4 2
Direct
0.401 0.681 0.507
0.681 0.401 0.007
0.956 0.073 0.473
0.654 0.346 0.750
0.073 0.956 0.973
0.599 0.319 0.493
0.927 0.044 0.027
0.319 0.599 0.993
0.346 0.654 0.250
0.044 0.927 0.527
0.000 0.500 0.500
0.500 0.500 0.500
0.500 0.000 0.000
0.500 0.500 0.000
0.763 0.237 0.250
0.237 0.763 0.750

---

Entry 7:
PBE Nd3Sm2Dy7, optimized geometry; calculated volume = 33.1 Å³/atom; DFT formation energy = 0.996 eV/f.u.
1.0
3.547 0.000 0.000
0.000 6.338 0.742
0.000 2.397 17.928
Dy Nd Sm
7 3 2
Direct
0.000 0.436 0.835
0.500 0.246 0.500
0.000 0.000 0.000
0.000 0.564 0.165
0.500 0.060 0.165
0.500 0.754 0.500
0.500 0.940 0.835
0.000 0.113 0.340
0.500 0.500 0.000
0.000 0.887 0.660
0.500 0.382 0.673
0.500 0.618 0.327

---

Entry 8:
PBE Nd2Sm8Dy, optimized geometry; excess energy over the best structure of this formula in the dataset = 0 meV per atom; calculated volume = 33.8 Å³/atom; DFT formation energy = 0.166 eV/f.u.
1.0
4.959 0.000 -1.321
-0.534 7.857 -2.003
-0.101 -0.086 9.592
Sm Dy Nd
8 1 2
Direct
0.865 0.821 0.729
0.135 0.179 0.271
0.410 0.547 0.820
0.681 0.909 0.362
0.955 0.272 0.910
0.319 0.091 0.638
0.590 0.453 0.180
0.045 0.728 0.090
0.500 0.000 0.000
0.227 0.637 0.454
0.773 0.363 0.546

---

Which of these has the highest DFT formation energy? Nd6Sm4Dy

---

Among the records above, which one has the highest DFT formation energy? Nd6Sm4Dy

---

Which value of calculated volume does entry 1 give? 38.7 Å³/atom

---

Which of these has the lowest DFT formation energy? number 3